<one>
# Hf2Cu2Pt GGA-PBE optimized geometry
data_Hf2Cu2Pt
_cell_length_a 3.361
_cell_length_b 3.361
_cell_length_c 14.697
_cell_angle_alpha 90.00
_cell_angle_beta 90.00
_cell_angle_gamma 90.00
_symmetry_space_group_name_H-M 'I 4/m m m'
_symmetry_Int_Tables_number 139
_symmetry_space_group_name_Hall '-I 4 2'
loop_
_atom_site_label
_atom_site_type_symbol
_atom_site_fract_x
_atom_site_fract_y
_atom_site_fract_z
_atom_site_occupancy
Hf1 Hf 0.000 0.000 0.108 1
Cu1 Cu 0.000 0.000 0.291 1
Pt1 Pt 0.000 0.000 0.500 1
# Magnetization: 0.0 μB/cell

***

<two>
# Hf2Cu2Pt GGA-PBE optimized geometry
data_Hf2Cu2Pt
_cell_length_a 6.874
_cell_length_b 6.874
_cell_length_c 3.467
_cell_angle_alpha 90.00
_cell_angle_beta 90.00
_cell_angle_gamma 90.00
_symmetry_space_group_name_H-M 'P 4/m b m'
_symmetry_Int_Tables_number 127
_symmetry_space_group_name_Hall '-P 4 2ab'
loop_
_atom_site_label
_atom_site_type_symbol
_atom_site_fract_x
_atom_site_fract_y
_atom_site_fract_z
_atom_site_occupancy
Hf1 Hf 0.176 0.324 0.000 1
Cu1 Cu 0.124 0.624 0.500 1
Pt1 Pt 0.000 0.000 0.500 1
# Magnetization: 0.0 μB/cell

***

Least stable structure: <one>

***

<one>
# HfCuPtRh GGA-PBE optimized geometry
data_HfCuPtRh
_cell_length_a 6.299
_cell_length_b 6.299
_cell_length_c 6.299
_cell_angle_alpha 90.00
_cell_angle_beta 90.00
_cell_angle_gamma 90.00
_symmetry_space_group_name_H-M 'F -4 3 m'
_symmetry_Int_Tables_number 216
_symmetry_space_group_name_Hall 'F -4 2 3'
loop_
_atom_site_label
_atom_site_type_symbol
_atom_site_fract_x
_atom_site_fract_y
_atom_site_fract_z
_atom_site_occupancy
Hf1 Hf 0.000 0.000 0.000 1
Cu1 Cu 0.000 0.000 0.500 1
Pt1 Pt 0.250 0.250 0.750 1
Rh1 Rh 0.250 0.250 0.250 1
# Magnetization: 0.0 μB/cell

***

<two>
# HfCuPtRh GGA-PBE optimized geometry
data_HfCuPtRh
_cell_length_a 3.702
_cell_length_b 3.982
_cell_length_c 4.163
_cell_angle_alpha 90.00
_cell_angle_beta 90.00
_cell_angle_gamma 90.00
_symmetry_space_group_name_H-M 'P m m m'
_symmetry_Int_Tables_number 47
loop_
_symmetry_equiv_pos_as_xyz
'x,y,z'
'-x,-y,-z'
'-x,-y,z'
'x,y,-z'
'x,-y,-z'
'-x,y,z'
'-x,y,-z'
'x,-y,z'
loop_
_atom_site_label
_atom_site_type_symbol
_atom_site_fract_x
_atom_site_fract_y
_atom_site_fract_z
_atom_site_occupancy
Hf1 Hf 0.000 0.000 0.000 1
Cu1 Cu 0.000 0.500 0.500 1
Pt1 Pt 0.500 0.000 0.500 1
Rh1 Rh 0.500 0.500 0.000 1
# Magnetization: 0.0 μB/cell

***

Least stable structure: <one>

***

<one>
# PuHfCu2 GGA-PBE optimized geometry
data_PuHfCu2
_cell_length_a 6.702
_cell_length_b 6.702
_cell_length_c 6.702
_cell_angle_alpha 90.00
_cell_angle_beta 90.00
_cell_angle_gamma 90.00
_symmetry_space_group_name_H-M 'F m -3 m'
_symmetry_Int_Tables_number 225
_symmetry_space_group_name_Hall '-F 4 2 3'
loop_
_atom_site_label
_atom_site_type_symbol
_atom_site_fract_x
_atom_site_fract_y
_atom_site_fract_z
_atom_site_occupancy
Pu1 Pu 0.000 0.000 0.000 1
Hf1 Hf 0.000 0.000 0.500 1
Cu1 Cu 0.250 0.250 0.250 1
# Magnetization: 23.9 μB/cell

***

<two>
# PuHfCu2 GGA-PBE optimized geometry
data_PuHfCu2
_cell_length_a 3.238
_cell_length_b 3.238
_cell_length_c 7.129
_cell_angle_alpha 90.00
_cell_angle_beta 90.00
_cell_angle_gamma 90.00
_symmetry_space_group_name_H-M 'P 4/m m m'
_symmetry_Int_Tables_number 123
_symmetry_space_group_name_Hall '-P 4 2'
loop_
_atom_site_label
_atom_site_type_symbol
_atom_site_fract_x
_atom_site_fract_y
_atom_site_fract_z
_atom_site_occupancy
Pu1 Pu 0.000 0.000 0.000 1
Hf1 Hf 0.000 0.000 0.500 1
Cu1 Cu 0.500 0.500 0.290 1
# Magnetization: 5.7 μB/cell

***

Least stable structure: <one>

***

<one>
# RbHfCu3 GGA-PBE optimized geometry
data_RbHfCu3
_cell_length_a 5.168
_cell_length_b 5.168
_cell_length_c 5.168
_cell_angle_alpha 90.00
_cell_angle_beta 90.00
_cell_angle_gamma 90.00
_symmetry_space_group_name_H-M 'P m -3 m'
_symmetry_Int_Tables_number 221
_symmetry_space_group_name_Hall '-P 4 2 3'
loop_
_atom_site_label
_atom_site_type_symbol
_atom_site_fract_x
_atom_site_fract_y
_atom_site_fract_z
_atom_site_occupancy
Rb1 Rb 0.000 0.000 0.000 1
Hf1 Hf 0.500 0.500 0.500 1
Cu1 Cu 0.000 0.500 0.500 1
# Magnetization: 0.0 μB/cell

***

<two>
# RbHfCu3 GGA-PBE optimized geometry
data_RbHfCu3
_cell_length_a 4.919
_cell_length_b 4.919
_cell_length_c 4.919
_cell_angle_alpha 90.00
_cell_angle_beta 90.00
_cell_angle_gamma 90.00
_symmetry_space_group_name_H-M 'P m -3 m'
_symmetry_Int_Tables_number 221
_symmetry_space_group_name_Hall '-P 4 2 3'
loop_
_atom_site_label
_atom_site_type_symbol
_atom_site_fract_x
_atom_site_fract_y
_atom_site_fract_z
_atom_site_occupancy
Rb1 Rb 0.000 0.000 0.000 1
Hf1 Hf 0.500 0.500 0.500 1
Cu1 Cu 0.000 0.000 0.500 1
# Magnetization: 0.0 μB/cell

***

Least stable structure: <two>

***

<one>
# HfCuRe2 GGA-PBE optimized geometry
data_HfCuRe2
_cell_length_a 3.786
_cell_length_b 3.786
_cell_length_c 19.182
_cell_angle_alpha 90.00
_cell_angle_beta 90.00
_cell_angle_gamma 90.00
_symmetry_space_group_name_H-M 'I -4 2 d'
_symmetry_Int_Tables_number 122
_symmetry_space_group_name_Hall 'I -4 2bw'
loop_
_atom_site_label
_atom_site_type_symbol
_atom_site_fract_x
_atom_site_fract_y
_atom_site_fract_z
_atom_site_occupancy
Hf1 Hf 0.000 0.000 0.000 1
Cu1 Cu 0.000 0.000 0.500 1
Re1 Re 0.211 0.250 0.625 1
# Magnetization: 0.0 μB/cell

***

<two>
# HfCuRe2 GGA-PBE optimized geometry
data_HfCuRe2
_cell_length_a 6.310
_cell_length_b 6.310
_cell_length_c 6.310
_cell_angle_alpha 90.00
_cell_angle_beta 90.00
_cell_angle_gamma 90.00
_symmetry_space_group_name_H-M 'F m -3 m'
_symmetry_Int_Tables_number 225
_symmetry_space_group_name_Hall '-F 4 2 3'
loop_
_atom_site_label
_atom_site_type_symbol
_atom_site_fract_x
_atom_site_fract_y
_atom_site_fract_z
_atom_site_occupancy
Hf1 Hf 0.000 0.000 0.000 1
Cu1 Cu 0.000 0.000 0.500 1
Re1 Re 0.250 0.250 0.250 1
# Magnetization: 0.0 μB/cell

***

Least stable structure: <one>

***

<one>
# Hf3Cu2Re GGA-PBE optimized geometry
data_Hf3Cu2Re
_cell_length_a 4.6039
_cell_length_b 4.6039
_cell_length_c 11.3263
_cell_angle_alpha 90.00
_cell_angle_beta 90.00
_cell_angle_gamma 120.00
_symmetry_space_group_name_H-M 'P -3 m 1'
_symmetry_Int_Tables_number 164
_symmetry_space_group_name_Hall '-P 3 2"'
loop_
_atom_site_label
_atom_site_type_symbol
_atom_site_fract_x
_atom_site_fract_y
_atom_site_fract_z
_atom_site_occupancy
Hf1 Hf 0.0000 0.0000 0.2484 1
Hf2 Hf 0.3333 0.6667 0.4148 1
Hf3 Hf 0.3333 0.6667 0.9159 1
Cu1 Cu 0.0000 0.0000 0.0000 1
Cu2 Cu 0.0000 0.0000 0.5000 1
Cu3 Cu 0.3333 0.6667 0.6648 1
Re1 Re 0.3333 0.6667 0.1685 1
# Magnetization: 0.0 μB/cell

***

<two>
# Hf3Cu2Re GGA-PBE optimized geometry
data_Hf3Cu2Re
_cell_length_a 3.282
_cell_length_b 3.282
_cell_length_c 9.678
_cell_angle_alpha 90.00
_cell_angle_beta 90.00
_cell_angle_gamma 90.00
_symmetry_space_group_name_H-M 'P 4/m m m'
_symmetry_Int_Tables_number 123
_symmetry_space_group_name_Hall '-P 4 2'
loop_
_atom_site_label
_atom_site_type_symbol
_atom_site_fract_x
_atom_site_fract_y
_atom_site_fract_z
_atom_site_occupancy
Hf1 Hf 0.000 0.000 0.000 1
Hf2 Hf 0.000 0.000 0.337 1
Cu1 Cu 0.500 0.500 0.166 1
Re1 Re 0.500 0.500 0.500 1
# Magnetization: 0.4 μB/cell

***

Least stable structure: <two>

***

<one>
# Hf3CuRe GGA-PBE optimized geometry
data_Hf3CuRe
_cell_length_a 4.724
_cell_length_b 4.724
_cell_length_c 4.724
_cell_angle_alpha 90.00
_cell_angle_beta 90.00
_cell_angle_gamma 90.00
_symmetry_space_group_name_H-M 'P m -3 m'
_symmetry_Int_Tables_number 221
_symmetry_space_group_name_Hall '-P 4 2 3'
loop_
_atom_site_label
_atom_site_type_symbol
_atom_site_fract_x
_atom_site_fract_y
_atom_site_fract_z
_atom_site_occupancy
Hf1 Hf 0.000 0.000 0.500 1
Cu1 Cu 0.000 0.000 0.000 1
Re1 Re 0.500 0.500 0.500 1
# Magnetization: 0.0 μB/cell

***

<two>
# Hf3CuRe GGA-PBE optimized geometry
data_Hf3CuRe
_cell_length_a 5.016
_cell_length_b 5.016
_cell_length_c 5.016
_cell_angle_alpha 90.00
_cell_angle_beta 90.00
_cell_angle_gamma 90.00
_symmetry_space_group_name_H-M 'P m -3 m'
_symmetry_Int_Tables_number 221
_symmetry_space_group_name_Hall '-P 4 2 3'
loop_
_atom_site_label
_atom_site_type_symbol
_atom_site_fract_x
_atom_site_fract_y
_atom_site_fract_z
_atom_site_occupancy
Hf1 Hf 0.000 0.000 0.500 1
Cu1 Cu 0.500 0.500 0.500 1
Re1 Re 0.000 0.000 0.000 1
# Magnetization: 0.0 μB/cell

***

Least stable structure: <one>

***

<one>
# HfCu2Re GGA-PBE optimized geometry
data_HfCu2Re
_cell_length_a 6.202
_cell_length_b 6.202
_cell_length_c 6.202
_cell_angle_alpha 90.00
_cell_angle_beta 90.00
_cell_angle_gamma 90.00
_symmetry_space_group_name_H-M 'F m -3 m'
_symmetry_Int_Tables_number 225
_symmetry_space_group_name_Hall '-F 4 2 3'
loop_
_atom_site_label
_atom_site_type_symbol
_atom_site_fract_x
_atom_site_fract_y
_atom_site_fract_z
_atom_site_occupancy
Hf1 Hf 0.000 0.000 0.000 1
Cu1 Cu 0.250 0.250 0.250 1
Re1 Re 0.000 0.000 0.500 1
# Magnetization: 0.0 μB/cell

***

<two>
# HfCu2Re GGA-PBE optimized geometry
data_HfCu2Re
_cell_length_a 3.754
_cell_length_b 3.754
_cell_length_c 18.868
_cell_angle_alpha 90.00
_cell_angle_beta 90.00
_cell_angle_gamma 90.00
_symmetry_space_group_name_H-M 'I -4 2 d'
_symmetry_Int_Tables_number 122
_symmetry_space_group_name_Hall 'I -4 2bw'
loop_
_atom_site_label
_atom_site_type_symbol
_atom_site_fract_x
_atom_site_fract_y
_atom_site_fract_z
_atom_site_occupancy
Hf1 Hf 0.000 0.000 0.000 1
Cu1 Cu 0.219 0.250 0.625 1
Re1 Re 0.000 0.000 0.500 1
# Magnetization: 0.0 μB/cell

***

Least stable structure: <two>